# ScTeAs2Se (PBE, optimized geometry)
data_ScTeAs2Se
_symmetry_space_group_name_H-M 'P 4/m m m'
_symmetry_Int_Tables_number 123
_symmetry_space_group_name_Hall '-P 4 2'
_cell_length_a 5.2293
_cell_length_b 5.2293
_cell_length_c 4.9652
_cell_angle_alpha 90.00
_cell_angle_beta 90.00
_cell_angle_gamma 90.00
loop_
_atom_site_label
_atom_site_type_symbol
_atom_site_fract_x
_atom_site_fract_y
_atom_site_fract_z
Sc1 Sc 0.0000 0.0000 0.0000
Te1 Te 0.5000 0.5000 0.5000
As1 As 0.0000 0.5000 0.0000
Se1 Se 0.0000 0.0000 0.5000
# energy relative to the lowest polymorph listed for this composition: 0.0 meV/atom
# crystal system: tetragonal
# formation energy without anion corrections: 0.6 eV/f.u.

# Sc6Te3AsSe2 (PBE, optimized geometry)
data_Sc6Te3AsSe2
_symmetry_space_group_name_H-M 'C 1 2/m 1'
_symmetry_Int_Tables_number 12
_symmetry_space_group_name_Hall '-C 2y'
_cell_length_a 6.9212
_cell_length_b 11.9876
_cell_length_c 7.0490
_cell_angle_alpha 90.00
_cell_angle_beta 109.09
_cell_angle_gamma 90.00
loop_
_atom_site_label
_atom_site_type_symbol
_atom_site_fract_x
_atom_site_fract_y
_atom_site_fract_z
Sc1 Sc 0.2333 0.1630 0.2119
Sc2 Sc 0.2459 0.5000 0.2134
Te1 Te 0.0000 0.1686 0.5000
Te2 Te 0.0000 0.5000 0.5000
As1 As 0.0000 0.0000 0.0000
Se1 Se 0.0000 0.3339 0.0000
# crystal system: monoclinic
# formation energy without anion corrections: -16.3 eV/f.u.

# Sc4TeAs2Se (PBE, optimized geometry)
data_Sc4TeAs2Se
_symmetry_space_group_name_H-M 'P 1 2/m 1'
_symmetry_Int_Tables_number 10
_symmetry_space_group_name_Hall '-P 2y'
_cell_length_a 6.8204
_cell_length_b 3.9368
_cell_length_c 6.9166
_cell_angle_alpha 90.00
_cell_angle_beta 109.23
_cell_angle_gamma 90.00
loop_
_atom_site_label
_atom_site_type_symbol
_atom_site_fract_x
_atom_site_fract_y
_atom_site_fract_z
Sc1 Sc 0.2322 0.0000 0.2210
Sc2 Sc 0.2492 0.5000 0.7720
Te1 Te 0.5000 0.5000 0.5000
As1 As 0.0000 0.5000 0.0000
As2 As 0.5000 0.0000 0.0000
Se1 Se 0.0000 0.0000 0.5000
# crystal system: monoclinic
# formation energy without anion corrections: -11.3 eV/f.u.

# ScTeAs2Se (PBE, optimized geometry)
data_ScTeAs2Se
_symmetry_space_group_name_H-M 'P 4/m m m'
_symmetry_Int_Tables_number 123
_symmetry_space_group_name_Hall '-P 4 2'
_cell_length_a 5.2224
_cell_length_b 5.2224
_cell_length_c 5.2618
_cell_angle_alpha 90.00
_cell_angle_beta 90.00
_cell_angle_gamma 90.00
loop_
_atom_site_label
_atom_site_type_symbol
_atom_site_fract_x
_atom_site_fract_y
_atom_site_fract_z
Sc1 Sc 0.0000 0.0000 0.0000
Te1 Te 0.5000 0.5000 0.5000
As1 As 0.0000 0.5000 0.5000
Se1 Se 0.5000 0.5000 0.0000
# energy relative to the lowest polymorph listed for this composition: 408.9 meV/atom
# crystal system: tetragonal
# formation energy without anion corrections: 2.7 eV/f.u.

# Sc8Te4As3Se (PBE, optimized geometry)
data_Sc8Te4As3Se
_symmetry_space_group_name_H-M 'R -3 m'
_symmetry_Int_Tables_number 166
_symmetry_space_group_name_Hall '-R 3 2"'
_cell_length_a 7.9736
_cell_length_b 7.9736
_cell_length_c 20.0939
_cell_angle_alpha 90.00
_cell_angle_beta 90.00
_cell_angle_gamma 120.00
loop_
_atom_site_label
_atom_site_type_symbol
_atom_site_fract_x
_atom_site_fract_y
_atom_site_fract_z
Sc1 Sc 0.0000 0.0000 0.2377
Sc2 Sc 0.0058 0.5029 0.7622
Te1 Te 0.0000 0.0000 0.0000
Te2 Te 0.0000 0.5000 0.0000
As1 As 0.0000 0.5000 0.5000
Se1 Se 0.0000 0.0000 0.5000
# crystal system: trigonal
# formation energy without anion corrections: -21.4 eV/f.u.

# ScTiAsSe2 (PBE, optimized geometry)
data_ScTiAsSe2
_symmetry_space_group_name_H-M 'P 4/m m m'
_symmetry_Int_Tables_number 123
_symmetry_space_group_name_Hall '-P 4 2'
_cell_length_a 5.0401
_cell_length_b 5.0401
_cell_length_c 5.0722
_cell_angle_alpha 90.00
_cell_angle_beta 90.00
_cell_angle_gamma 90.00
loop_
_atom_site_label
_atom_site_type_symbol
_atom_site_fract_x
_atom_site_fract_y
_atom_site_fract_z
Sc1 Sc 0.0000 0.0000 0.0000
Ti1 Ti 0.5000 0.5000 0.5000
As1 As 0.0000 0.0000 0.5000
Se1 Se 0.0000 0.5000 0.0000
# energy relative to the lowest polymorph listed for this composition: 477.1 meV/atom
# crystal system: tetragonal
# formation energy without anion corrections: 0.0 eV/f.u.

# ScTiAsSe2 (PBE, optimized geometry)
data_ScTiAsSe2
_symmetry_space_group_name_H-M 'P 4/m m m'
_symmetry_Int_Tables_number 123
_symmetry_space_group_name_Hall '-P 4 2'
_cell_length_a 4.8671
_cell_length_b 4.8671
_cell_length_c 4.9509
_cell_angle_alpha 90.00
_cell_angle_beta 90.00
_cell_angle_gamma 90.00
loop_
_atom_site_label
_atom_site_type_symbol
_atom_site_fract_x
_atom_site_fract_y
_atom_site_fract_z
Sc1 Sc 0.0000 0.0000 0.0000
Ti1 Ti 0.5000 0.5000 0.5000
As1 As 0.5000 0.5000 0.0000
Se1 Se 0.0000 0.5000 0.5000
# energy relative to the lowest polymorph listed for this composition: 0.0 meV/atom
# crystal system: tetragonal
# formation energy without anion corrections: -2.4 eV/f.u.

# ScTlAsSe2 (PBE, optimized geometry)
data_ScTlAsSe2
_symmetry_space_group_name_H-M 'P 4/m m m'
_symmetry_Int_Tables_number 123
_symmetry_space_group_name_Hall '-P 4 2'
_cell_length_a 5.2959
_cell_length_b 5.2959
_cell_length_c 5.2017
_cell_angle_alpha 90.00
_cell_angle_beta 90.00
_cell_angle_gamma 90.00
loop_
_atom_site_label
_atom_site_type_symbol
_atom_site_fract_x
_atom_site_fract_y
_atom_site_fract_z
Sc1 Sc 0.0000 0.0000 0.0000
Tl1 Tl 0.5000 0.5000 0.5000
As1 As 0.5000 0.5000 0.0000
Se1 Se 0.0000 0.5000 0.5000
# energy relative to the lowest polymorph listed for this composition: 867.3 meV/atom
# crystal system: tetragonal
# formation energy without anion corrections: 2.3 eV/f.u.

Number 1: volume 135.77 Å³ per cell. Number 2: volume 552.68 Å³ per cell. Number 3: volume 175.36 Å³ per cell. Number 4: volume 143.51 Å³ per cell. Number 5: volume 1106.40 Å³ per cell. Number 6: volume 128.85 Å³ per cell. Number 7: volume 117.28 Å³ per cell. Number 8: volume 145.89 Å³ per cell.